Computed, not measured: a relaxed BeInP2 crystal at the PBE level of DFT.

Calculated values
The density of states at the Fermi level is 1.5 states/eV per cell. For the calculated total energy, the calculation gives -14.83 eV/cell. Its total magnetization is 0.0 μB per cell. The mass density comes out at 4.58 g/cm³.

```
BeInP2
1.0
4.4421 0.0305 0.0000
-1.4394 4.2026 0.0000
0.0000 0.0000 3.5969
P Be In
2 1 1
Cartesian
0.0000 0.0000 0.0000 P
1.5014 2.1165 0.0000 P
2.2211 0.0153 1.7984 Be
-0.7197 2.1013 1.7984 In
```